(1)
This record from the Alexandria database describes an optimized crystal structure of InHg2Mo. The functional is PBE.

Properties
Volume (Å³/cell): 163.2
ΔE_f (eV/atom): 0.53
Total magnetization (μB per cell): 1.516

abc: 4.1368 4.1368 9.5376
angles: 90.00 90.00 90.00
Space group I-4m2 (No. 119)
Unique sites:
In  0.0000  0.0000  0.0000 [2 per cell]
Hg  0.0000  0.0000  0.5000 [2 per cell]
Hg  0.0000  0.5000  0.2500 [2 per cell]
Mo  0.0000  0.5000  0.7500 [2 per cell]


(2)
This record from the Alexandria database describes an optimized crystal structure of InHg2Mo. The functional is PBE.

Properties
Volume (Å³/cell): 80.1
ΔE_f (eV/atom): 0.46
Total magnetization (μB per cell): 1.127

abc: 4.2703 4.2703 4.3938
angles: 90.00 90.00 90.00
Space group P4/mmm (No. 123)
Unique sites:
In  0.0000  0.0000  0.0000 [1 per cell]
Hg  0.0000  0.5000  0.5000 [2 per cell]
Mo  0.5000  0.5000  0.0000 [1 per cell]


(3)
This record from the Alexandria database describes an optimized crystal structure of InHg2Mo. The functional is PBE.

Properties
Volume (Å³/cell): 168.0
ΔE_f (eV/atom): 0.52
Total magnetization (μB per cell): 0.468

abc: 3.1473 5.0561 10.5580
angles: 90.00 90.00 90.00
Space group Imm2 (No. 44)
Unique sites:
In  0.0000  0.0000  0.0000 [2 per cell]
Hg  0.0000  0.0000  0.4532 [2 per cell]
Hg  0.0000  0.5000  0.2250 [2 per cell]
Mo  0.0000  0.5000  0.7261 [2 per cell]


(4)
This record from the Alexandria database describes an optimized crystal structure of InHgMo2. The functional is PBE.

Properties
Volume (Å³/cell): 145.7
ΔE_f (eV/atom): 0.57
Total magnetization (μB per cell): 0.000

abc: 4.0104 4.0104 9.0583
angles: 90.00 90.00 90.00
Space group I4/mmm (No. 139)
Unique sites:
In  0.0000  0.0000  0.0000 [2 per cell]
Hg  0.0000  0.0000  0.5000 [2 per cell]
Mo  0.0000  0.5000  0.2500 [4 per cell]


(5)
This record from the Alexandria database describes an optimized crystal structure of InHg2Mo. The functional is PBE.

Properties
Volume (Å³/cell): 251.3
ΔE_f (eV/atom): 0.47
Total magnetization (μB per cell): 0.000

abc: 3.1430 3.1430 29.3755
angles: 90.00 90.00 120.00
Space group R-3m (No. 166, hexagonal axes)
Unique sites:
In  0.0000  0.0000  0.0000 [3 per cell]
Hg  0.0000  0.0000  0.2447 [6 per cell]
Mo  0.0000  0.0000  0.5000 [3 per cell]


(6)
This record from the Alexandria database describes an optimized crystal structure of InHg2Mo. The functional is PBE.

Properties
Volume (Å³/cell): 80.7
ΔE_f (eV/atom): 0.42
Total magnetization (μB per cell): 0.000

abc: 5.2858 3.0478 5.3895
angles: 90.00 111.60 90.00
Space group P2/m (No. 10)
Unique sites:
In  0.0000  0.0000  0.0000 [1 per cell]
Hg  0.0000  0.5000  0.5000 [1 per cell]
Hg  0.5000  0.0000  0.5000 [1 per cell]
Mo  0.5000  0.5000  0.0000 [1 per cell]


(7)
This record from the Alexandria database describes an optimized crystal structure of InHg2Mo. The functional is PBE.

Properties
Volume (Å³/cell): 85.5
ΔE_f (eV/atom): 0.49
Total magnetization (μB per cell): 0.000

abc: 2.9823 2.9823 9.6123
angles: 90.00 90.00 90.00
Space group P4/mmm (No. 123)
Unique sites:
In  0.0000  0.0000  0.0000 [1 per cell]
Hg  0.5000  0.5000  0.2811 [2 per cell]
Mo  0.0000  0.0000  0.5000 [1 per cell]


(8)
This record from the Alexandria database describes an optimized crystal structure of InHg2Mo. The functional is PBE.

Properties
Volume (Å³/cell): 346.7
ΔE_f (eV/atom): 0.70
Total magnetization (μB per cell): 12.444

abc: 7.0253 7.0253 7.0253
angles: 90.00 90.00 90.00
Space group F-43m (No. 216)
Unique sites:
In  0.0000  0.0000  0.0000 [4 per cell]
Hg  0.0000  0.0000  0.5000 [4 per cell]
Hg  0.2500  0.2500  0.2500 [4 per cell]
Mo  0.2500  0.2500  0.7500 [4 per cell]


(9)
This record from the Alexandria database describes an optimized crystal structure of InHgMo2. The functional is PBE.

Properties
Volume (Å³/cell): 151.3
ΔE_f (eV/atom): 0.43
Total magnetization (μB per cell): 0.000

abc: 3.3296 4.8364 9.3960
angles: 90.00 90.00 90.00
Space group Imm2 (No. 44)
Unique sites:
In  0.0000  0.0000  0.0000 [2 per cell]
Hg  0.0000  0.5000  0.2311 [2 per cell]
Mo  0.0000  0.0000  0.4650 [2 per cell]
Mo  0.0000  0.5000  0.7671 [2 per cell]


(10)
This record from the Alexandria database describes an optimized crystal structure of InHgMo2. The functional is PBE.

Properties
Volume (Å³/cell): 74.1
ΔE_f (eV/atom): 0.53
Total magnetization (μB per cell): 0.000

abc: 2.8672 4.7195 5.5995
angles: 90.00 102.09 90.00
Space group P2/m (No. 10)
Unique sites:
In  0.0000  0.0000  0.0000 [1 per cell]
Hg  0.5000  0.0000  0.5000 [1 per cell]
Mo  0.2884  0.5000  0.7732 [2 per cell]


(11)
This record from the Alexandria database describes an optimized crystal structure of In4HgMo. The functional is PBE.

Properties
Volume (Å³/cell): 553.4
ΔE_f (eV/atom): 0.67
Total magnetization (μB per cell): 0.336

abc: 8.2102 8.2102 8.2102
angles: 90.00 90.00 90.00
Space group F-43m (No. 216)
Unique sites:
In  0.1249  0.1249  0.1249 [16 per cell]
Hg  0.0000  0.0000  0.5000 [4 per cell]
Mo  0.2500  0.2500  0.7500 [4 per cell]


(12)
This record from the Alexandria database describes an optimized crystal structure of InHgMo2. The functional is PBE.

Properties
Volume (Å³/cell): 146.6
ΔE_f (eV/atom): 0.52
Total magnetization (μB per cell): 0.000

abc: 9.7425 2.8870 5.2349
angles: 90.00 95.21 90.00
Space group Cm (No. 8)
Unique sites:
In  0.0000  0.0000  0.0000 [2 per cell]
Hg  0.2531  0.5000  0.2412 [2 per cell]
Mo  0.2543  0.0000  0.7240 [2 per cell]
Mo  0.4974  0.0000  0.5171 [2 per cell]